The following is a PBE-GGA calculation of crystalline Pr2YLu at its relaxed geometry, from Alexandria via LeMat-Bulk.

Computed properties:
energy relative to the elements = 0.0873 eV per atom
excess energy over the best structure of this formula in the dataset = 66.9 meV per atom
final energy = -5.049 eV per atom
space-group type = Fm-3m (225)

```
data_Pr2YLu
_cell_length_a 5.757
_cell_length_b 5.757
_cell_length_c 5.757
_cell_angle_alpha 60.00
_cell_angle_beta 60.00
_cell_angle_gamma 60.00
_symmetry_space_group_name_H-M 'P 1'
_symmetry_Int_Tables_number 1
_symmetry_space_group_name_Hall 'P 1'
loop_
_atom_site_label
_atom_site_type_symbol
_atom_site_fract_x
_atom_site_fract_y
_atom_site_fract_z
_atom_site_occupancy
Pr1 Pr 0.250 0.250 0.250 1
Pr2 Pr 0.750 0.750 0.750 1
Y1 Y 0.000 0.000 0.000 1
Lu1 Lu 0.500 0.500 0.500 1
```